Below is a relaxed structure of La2Y2Th, with properties calculated at the PBE-GGA level.

Lattice parameters (Å, degrees): 3.5775 5.3558 9.2545 106.83 90.00 90.00
Last column: nearest neighbours and their distance in Å.
Fractional coordinates of all 5 atoms:
1 La 0.0000 0.8042 0.6073  4 La 3.28-3.58, 1 Th 3.48, 4 Y 3.66
2 La 0.0000 0.1958 0.3927  4 La 3.28-3.58, 1 Th 3.48, 4 Y 3.66
3 Y 0.5000 0.4021 0.8038  3 Y 3.48-3.58, 4 Th 3.66, 4 La 3.66
4 Y 0.5000 0.5979 0.1962  3 Y 3.48-3.58, 4 Th 3.66, 4 La 3.66
5 Th 0.0000 0.0000 0.0000  2 La 3.48, 2 Th 3.58, 8 Y 3.66

Values from the calculation:
DFT formation energy	0.06	eV per atom
E above lowest polymorph	3.90	kJ per mole of atoms
size of the total moment	0.000	μB per formula unit
crystal system	orthorhombic
calculated volume	33.95	A^3/atom
DOS(E_F)	7.46	states/eV/cell
space-group type	No. 65

=====

Below is a relaxed structure of SmUAs2, with properties calculated at the PBE-GGA level.

Lattice parameters (Å, degrees): 4.0695 4.0695 7.5482 74.36 74.36 60.00
Last column: nearest neighbours and their distance in Å.
Fractional coordinates of all 4 atoms:
1 Sm 0.4967 0.4967 0.5098  6 As 2.96-3.06
2 U 0.6692 0.6692 0.9923  6 As 2.88-2.93
3 As 0.0798 0.0798 0.7606  3 U 2.88, 3 Sm 2.96
4 As 0.2542 0.2542 0.2374  3 U 2.93, 3 Sm 3.06

Values from the calculation:
DFT formation energy	-0.98	eV per atom
E above lowest polymorph	14.77	kJ per mole of atoms
size of the total moment	2.620	μB per formula unit
crystal system	trigonal
calculated volume	25.72	A^3/atom
DOS(E_F)	5.36	states/eV/cell
space-group type	No. 160

=====

Below is a relaxed structure of GeRh2Br, with properties calculated at the PBE-GGA level.

Lattice parameters (Å, degrees): 4.4947 4.4947 4.4947 60.00 60.00 60.00
Last column: nearest neighbours and their distance in Å.
Fractional coordinates of all 4 atoms:
1 Ge 0.0000 0.0000 0.0000  8 Rh 2.75
2 Rh 0.2500 0.2500 0.2500  4 Ge 2.75, 4 Br 2.75
3 Rh 0.7500 0.7500 0.7500  4 Br 2.75, 4 Ge 2.75
4 Br 0.5000 0.5000 0.5000  8 Rh 2.75

Values from the calculation:
E above lowest polymorph	5.23	kJ per mole of atoms
size of the total moment	0.960	μB per formula unit
raw formation energy	272	meV/atom
crystal system	cubic
calculated volume	16.05	A^3/atom
DOS(E_F)	3.87	states/eV/cell
space-group type	No. 225

=====

Below is a relaxed structure of ThH12Rh6, with properties calculated at the PBE-GGA level.

Lattice parameters (Å, degrees): 5.6059 5.6059 5.6059 103.67 103.67 103.67
Last column: nearest neighbours and their distance in Å.
Fractional coordinates of all 19 atoms:
1 Th 0.0000 0.0000 0.0000  6 H 2.46
2 H 0.4607 0.1843 0.5294  3 Rh 1.77-1.88
3 H 0.1843 0.5294 0.4607  3 Rh 1.77-1.88
4 H 0.5294 0.4607 0.1843  3 Rh 1.77-1.88
5 H 0.5393 0.8157 0.4706  3 Rh 1.77-1.88
6 H 0.8157 0.4706 0.5393  3 Rh 1.77-1.88
7 H 0.4706 0.5393 0.8157  3 Rh 1.77-1.88
8 H 0.1446 0.9370 0.6142  3 Rh 1.81-1.85
9 H 0.3858 0.8554 0.0630  3 Rh 1.81-1.85
10 H 0.0630 0.3858 0.8554  3 Rh 1.81-1.85
11 H 0.8554 0.0630 0.3858  3 Rh 1.81-1.85
12 H 0.6142 0.1446 0.9370  3 Rh 1.81-1.85
13 H 0.9370 0.6142 0.1446  3 Rh 1.81-1.85
14 Rh 0.1872 0.2596 0.5890  6 H 1.77-1.88
15 Rh 0.7404 0.4110 0.8128  6 H 1.77-1.88
16 Rh 0.4110 0.8128 0.7404  6 H 1.77-1.88
17 Rh 0.8128 0.7404 0.4110  6 H 1.77-1.88
18 Rh 0.2596 0.5890 0.1872  6 H 1.77-1.88
19 Rh 0.5890 0.1872 0.2596  6 H 1.77-1.88

Values from the calculation:
size of the total moment	0.000	μB per formula unit
crystal system	trigonal
calculated volume	8.33	A^3/atom
DOS(E_F)	1.19	states/eV/cell
space-group type	No. 148

=====

Below is a relaxed structure of La3ErTm2, with properties calculated at the PBE-GGA level.

Lattice parameters (Å, degrees): 10.4109 10.4109 15.2559 47.11 47.11 20.00
Last column: nearest neighbours and their distance in Å.
Fractional coordinates of all 12 atoms:
1 La 0.9618 0.9618 0.1495  3 Tm 3.51-3.60, 9 La 3.62-3.76
2 La 0.0382 0.0382 0.8505  3 Tm 3.51-3.60, 9 La 3.62-3.76
3 La 0.3279 0.3279 0.1016  3 Tm 3.42-3.65, 7 La 3.57-3.76, 2 Er 3.71
4 La 0.6721 0.6721 0.8984  3 Tm 3.42-3.65, 7 La 3.57-3.76, 2 Er 3.71
5 La 0.2493 0.2493 0.3961  7 La 3.57-3.71, 3 Tm 3.58-3.73, 2 Er 3.64
6 La 0.7507 0.7507 0.6039  7 La 3.57-3.71, 3 Tm 3.58-3.73, 2 Er 3.64
7 Er 0.6176 0.6176 0.3552  4 Tm 3.42-3.57, 3 Er 3.62-3.65, 4 La 3.64-3.71
8 Er 0.3824 0.3824 0.6448  4 Tm 3.42-3.57, 3 Er 3.62-3.65, 4 La 3.64-3.71
9 Tm 0.1483 0.1483 0.1274  4 La 3.42-3.65, 6 Tm 3.52-3.66, 2 Er 3.57
10 Tm 0.8517 0.8517 0.8726  4 La 3.42-3.65, 6 Tm 3.52-3.66, 2 Er 3.57
11 Tm 0.4497 0.4497 0.3577  2 Er 3.42-3.57, 5 La 3.51-3.73, 4 Tm 3.52-3.62
12 Tm 0.5503 0.5503 0.6423  2 Er 3.42-3.57, 5 La 3.51-3.73, 4 Tm 3.52-3.62

Values from the calculation:
DFT formation energy	0.09	eV per atom
E above lowest polymorph	0.00	kJ per mole of atoms
size of the total moment	0.000	μB per formula unit
crystal system	monoclinic
calculated volume	34.06	A^3/atom
DOS(E_F)	19.45	states/eV/cell
space-group type	No. 12

=====

Below is a relaxed structure of Th3Ni8Rh, with properties calculated at the PBE-GGA level.

Lattice parameters (Å, degrees): 5.0514 5.0514 8.9131 73.54 73.54 60.00
Last column: nearest neighbours and their distance in Å.
Fractional coordinates of all 12 atoms:
1 Th 0.3800 0.3800 0.8601  12 Ni 2.93-3.09
2 Th 0.9837 0.9837 0.0489  9 Ni 2.77-3.07, 1 Rh 2.92
3 Th 0.5108 0.5108 0.4675  12 Ni 2.81-3.12, 3 Rh 2.98
4 Ni 0.9442 0.4355 0.1848  6 Ni 2.48-2.57, 2 Th 2.77
5 Ni 0.4389 0.9385 0.6842  6 Ni 2.52-2.57
6 Ni 0.4355 0.4355 0.1848  6 Ni 2.48-2.57, 2 Th 2.77
7 Ni 0.9385 0.9385 0.6842  6 Ni 2.52-2.57
8 Ni 0.1879 0.1879 0.4362  6 Ni 2.55-2.56
9 Ni 0.6883 0.6883 0.9351  6 Ni 2.57
10 Ni 0.4355 0.9442 0.1848  6 Ni 2.48-2.57, 2 Th 2.77
11 Ni 0.9385 0.4389 0.6842  6 Ni 2.52-2.57
12 Rh 0.8682 0.8682 0.3955  12 Ni 2.83-3.09, 4 Th 2.92-2.98

Values from the calculation:
DFT formation energy	-0.42	eV per atom
size of the total moment	0.000	μB per formula unit
crystal system	trigonal
calculated volume	15.51	A^3/atom
DOS(E_F)	12.68	states/eV/cell
space-group type	No. 160

=====

Below is a relaxed structure of KBaLa2, with properties calculated at the PBE-GGA level.

Lattice parameters (Å, degrees): 3.7949 6.4670 7.6246 90.00 90.00 90.00
Last column: nearest neighbours and their distance in Å.
Fractional coordinates of all 4 atoms:
1 Ba 0.5000 0.5000 0.2500  2 Ba 3.79, 2 K 3.81, 8 La 4.15
2 K 0.5000 0.5000 0.7500  2 K 3.79, 2 Ba 3.81
3 La 0.0000 0.0000 0.0156  3 La 3.57-3.79
4 La 0.0000 0.0000 0.4844  3 La 3.57-3.79

Values from the calculation:
DFT formation energy	0.39	eV per atom
E above lowest polymorph	23.20	kJ per mole of atoms
size of the total moment	0.007	μB per formula unit
crystal system	orthorhombic
calculated volume	46.78	A^3/atom
DOS(E_F)	8.48	states/eV/cell
space-group type	No. 47

=====

Below is a relaxed structure of K2ScCd, with properties calculated at the PBE-GGA level.

Lattice parameters (Å, degrees): 7.3795 7.3795 3.4836 77.64 77.64 125.17
Last column: nearest neighbours and their distance in Å.
Fractional coordinates of all 4 atoms:
1 Cd 0.0000 0.5000 0.5000  4 Sc 3.40-3.56, 2 Cd 3.48, 4 K 3.73
2 K 0.0000 0.0000 0.0000  6 K 3.40-3.56, 2 Cd 3.73, 2 Sc 3.73
3 K 0.5000 0.5000 0.0000  6 K 3.40-3.56, 2 Sc 3.73, 2 Cd 3.73
4 Sc 0.5000 0.0000 0.5000  4 Cd 3.40-3.56, 2 Sc 3.48, 4 K 3.73

Values from the calculation:
DFT formation energy	0.43	eV per atom
size of the total moment	0.001	μB per formula unit
crystal system	monoclinic
calculated volume	34.33	A^3/atom
DOS(E_F)	4.08	states/eV/cell
space-group type	No. 12

=====

Below is a relaxed structure of CeDy2CuS5, with properties calculated at the PBE-GGA level.

Lattice parameters (Å, degrees): 3.8021 9.3266 11.0723 90.00 90.00 101.76
Last column: nearest neighbours and their distance in Å.
Fractional coordinates of all 18 atoms:
1 Ce 0.8015 0.6030 0.5077  6 S 2.78-2.97
2 Ce 0.1985 0.3970 0.0077  6 S 2.78-2.97
3 Dy 0.8893 0.7787 0.8100  7 S 2.73-2.96
4 Dy 0.0892 0.1784 0.6835  7 S 2.78-2.88
5 Dy 0.1107 0.2213 0.3100  7 S 2.73-2.96
6 Dy 0.9108 0.8216 0.1835  7 S 2.78-2.88
7 Cu 0.5633 0.1267 0.9504  4 S 2.26-2.34
8 Cu 0.4367 0.8733 0.4504  4 S 2.26-2.34
9 S 0.3611 0.7223 0.0060  4 Dy 2.88-2.93, 1 Ce 2.97
10 S 0.6680 0.3361 0.8293  1 Cu 2.34
11 S 0.4948 0.9896 0.7801  1 Cu 2.26
12 S 0.3025 0.6049 0.6951  2 Dy 2.78, 2 Ce 2.81
13 S 0.9501 0.9001 0.5619  2 Cu 2.28
14 S 0.6389 0.2777 0.5060  4 Dy 2.88-2.93, 1 Ce 2.97
15 S 0.3320 0.6639 0.3293  1 Cu 2.34
16 S 0.5052 0.0104 0.2801  1 Cu 2.26
17 S 0.6975 0.3951 0.1951  2 Dy 2.78, 2 Ce 2.81
18 S 0.0499 0.0999 0.0619  2 Cu 2.28

Values from the calculation:
size of the total moment	0.939	μB per formula unit
raw formation energy	-1665	meV/atom
crystal system	orthorhombic
calculated volume	21.35	A^3/atom
DOS(E_F)	12.97	states/eV/cell
space-group type	No. 36

=====

Below is a relaxed structure of Y2ZnRe, with properties calculated at the PBE-GGA level.

Lattice parameters (Å, degrees): 4.3627 3.9005 5.7122 70.03 90.00 90.00
Last column: nearest neighbours and their distance in Å.
Fractional coordinates of all 4 atoms:
1 Re 0.5000 0.5586 0.7582  2 Zn 2.61
2 Y 0.0000 0.9806 0.9140  3 Zn 2.99-3.11, 4 Re 3.04
3 Y 0.5000 0.2697 0.3352  3 Re 2.99-3.10, 4 Zn 3.05
4 Zn 0.0000 0.6911 0.4925  2 Re 2.61

Values from the calculation:
DFT formation energy	0.01	eV per atom
size of the total moment	0.000	μB per formula unit
crystal system	orthorhombic
calculated volume	22.84	A^3/atom
DOS(E_F)	4.88	states/eV/cell
space-group type	No. 38

=====

Below is a relaxed structure of UHIBr, with properties calculated at the PBE-GGA level.

Lattice parameters (Å, degrees): 3.8914 3.8914 8.2401 90.08 103.58 120.00
Last column: nearest neighbours and their distance in Å.
Fractional coordinates of all 4 atoms:
1 U 0.5006 0.6149 0.1155  3 H 2.25
2 H 0.8374 0.2832 0.1206  3 U 2.25
3 I 0.3531 0.0419 0.3951  3 H 3.13, 3 U 3.16
4 Br 0.0010 0.8644 0.8654  3 U 3.00, 3 H 3.02

Values from the calculation:
size of the total moment	3.000	μB per formula unit
crystal system	monoclinic
calculated volume	26.00	A^3/atom
DOS(E_F)	3.22	states/eV/cell
space-group type	No. 8

=====

Below is a relaxed structure of Li6La2Pd3, with properties calculated at the PBE-GGA level.

Lattice parameters (Å, degrees): 4.0443 7.9225 7.9225 120.00 90.00 90.00
Last column: nearest neighbours and their distance in Å.
Fractional coordinates of all 11 atoms:
1 Li 0.5000 0.7483 0.7483  3 Pd 2.66-2.85, 4 Li 2.74
2 Li 0.5000 0.0000 0.2517  3 Pd 2.66-2.85, 4 Li 2.74
3 Li 0.0000 0.2068 0.2068  2 Pd 2.60, 6 Li 2.74-2.84
4 Li 0.0000 0.7932 0.0000  2 Pd 2.60, 6 Li 2.74-2.84
5 Li 0.5000 0.2517 0.0000  3 Pd 2.66-2.85, 4 Li 2.74
6 Li 0.0000 0.0000 0.7932  2 Pd 2.60, 6 Li 2.74-2.84
7 La 0.0000 0.6667 0.3333  6 Pd 3.13, 3 Li 3.26
8 La 0.0000 0.3333 0.6667  6 Pd 3.13, 3 Li 3.26
9 Pd 0.5000 0.4128 0.4128  5 Li 2.60-2.85
10 Pd 0.5000 0.5872 0.0000  5 Li 2.60-2.85
11 Pd 0.5000 0.0000 0.5872  5 Li 2.60-2.85

Values from the calculation:
DFT formation energy	-0.37	eV per atom
size of the total moment	0.000	μB per formula unit
crystal system	hexagonal
calculated volume	19.98	A^3/atom
DOS(E_F)	3.84	states/eV/cell
space-group type	No. 189

=====

Below is a relaxed structure of Ti2GaCu, with properties calculated at the PBE-GGA level.

Lattice parameters (Å, degrees): 7.1312 7.1312 5.6439 50.82 50.82 90.00
Last column: nearest neighbours and their distance in Å.
Fractional coordinates of all 8 atoms:
1 Cu 0.5000 0.5000 0.0000  4 Ti 2.53, 2 Ga 2.54
2 Cu 0.2500 0.7500 0.5000  4 Ti 2.53, 2 Ga 2.54
3 Ga 0.0000 0.0000 0.0000  2 Cu 2.54, 4 Ti 2.67
4 Ga 0.7500 0.2500 0.5000  2 Cu 2.54, 4 Ti 2.67
5 Ti 0.6115 0.1250 0.2500  2 Cu 2.53, 2 Ti 2.54, 2 Ga 2.67
6 Ti 0.1385 0.6250 0.2500  2 Cu 2.53, 2 Ti 2.54, 2 Ga 2.67
7 Ti 0.3750 0.3885 0.7500  2 Cu 2.53, 2 Ti 2.54, 2 Ga 2.67
8 Ti 0.8750 0.8615 0.7500  2 Cu 2.53, 2 Ti 2.54, 2 Ga 2.67

Values from the calculation:
DFT formation energy	0.10	eV per atom
size of the total moment	0.000	μB per formula unit
crystal system	tetragonal
calculated volume	16.11	A^3/atom
DOS(E_F)	8.00	states/eV/cell
space-group type	No. 122

=====

The raw total energy results, record by record, are as follows: -5.979; -7.307; -4.977; -5.005; -4.628; -6.746; -2.824; -1.931; -6.095; -6.652; -5.319; -3.729; -5.628 eV/atom.